Record 1
DFT (PBE) results for crystalline ZnCrRe at its relaxed geometry. Values from VASP.

```
&SYSTEM
  ibrav = 0, nat = 6, ntyp = 3
/
ATOMIC_SPECIES
Zn 65.41 Zn.upf
Cr 52.00 Cr.upf
Re 186.21 Re.upf
CELL_PARAMETERS angstrom
1.480 -6.535 0.000
1.480 6.535 0.000
0.000 0.000 4.233
ATOMIC_POSITIONS crystal
Zn 0.244 0.756 0.750
Zn 0.756 0.244 0.250
Cr 0.423 0.577 0.250
Cr 0.577 0.423 0.750
Re 0.080 0.920 0.250
Re 0.920 0.080 0.750
```

Calculated values
DOS(E_F) in states/eV per atom: 0.713
Electronic total energy in eV per atom: -7.6384
Formation enthalpy at 0 K in eV/atom: 0.143
Relative energy among the computed polymorphs in eV/atom: 0.0158

=====

Record 2
DFT (PBE) results for crystalline ZnCr2Re at its relaxed geometry. Values from VASP.

```
&SYSTEM
  ibrav = 0, nat = 4, ntyp = 3
/
ATOMIC_SPECIES
Zn 65.41 Zn.upf
Cr 52.00 Cr.upf
Re 186.21 Re.upf
CELL_PARAMETERS angstrom
1.340 0.774 8.675
-1.340 0.774 8.675
0.000 -1.547 8.675
ATOMIC_POSITIONS crystal
Zn 0.000 0.000 0.000
Cr 0.249 0.249 0.249
Cr 0.751 0.751 0.751
Re 0.500 0.500 0.500
```

Calculated values
DOS(E_F) in states/eV per atom: 1.804
Electronic total energy in eV per atom: -7.9478
Formation enthalpy at 0 K in eV/atom: 0.294

=====

Record 3
DFT (PBE) results for crystalline ZnCr2Re at its relaxed geometry. Values from VASP.

```
&SYSTEM
  ibrav = 0, nat = 4, ntyp = 3
/
ATOMIC_SPECIES
Zn 65.41 Zn.upf
Cr 52.00 Cr.upf
Re 186.21 Re.upf
CELL_PARAMETERS angstrom
-1.480 2.104 4.190
1.480 -2.104 4.190
1.480 2.104 -4.190
ATOMIC_POSITIONS crystal
Zn 0.000 0.000 0.000
Cr 0.260 0.760 0.500
Cr 0.484 0.484 0.000
Re 0.729 0.229 0.500
```

Calculated values
DOS(E_F) in states/eV per atom: 0.898
Electronic total energy in eV per atom: -8.0874
Formation enthalpy at 0 K in eV/atom: 0.155

=====

Record 4
DFT (PBE) results for crystalline ZnCr2Re at its relaxed geometry. Values from VASP.

```
&SYSTEM
  ibrav = 0, nat = 4, ntyp = 3
/
ATOMIC_SPECIES
Zn 65.41 Zn.upf
Cr 52.00 Cr.upf
Re 186.21 Re.upf
CELL_PARAMETERS angstrom
2.697 0.000 0.000
0.000 3.757 0.000
0.000 0.000 5.248
ATOMIC_POSITIONS crystal
Zn 0.000 0.000 0.000
Cr 0.000 0.000 0.489
Cr 0.500 0.500 0.258
Re 0.500 0.500 0.721
```

Calculated values
DOS(E_F) in states/eV per atom: 0.803
Electronic total energy in eV per atom: -7.9749
Formation enthalpy at 0 K in eV/atom: 0.267

=====

Record 5
DFT (PBE) results for crystalline ZnCrRe3 at its relaxed geometry. Values from VASP.

```
&SYSTEM
  ibrav = 0, nat = 5, ntyp = 3
/
ATOMIC_SPECIES
Zn 65.41 Zn.upf
Cr 52.00 Cr.upf
Re 186.21 Re.upf
CELL_PARAMETERS angstrom
4.422 0.000 0.000
0.000 4.422 0.000
0.000 0.000 4.422
ATOMIC_POSITIONS crystal
Zn 0.000 0.000 0.000
Cr 0.500 0.500 0.500
Re 0.000 0.000 0.500
Re 0.000 0.500 0.000
Re 0.500 0.000 0.000
```

Calculated values
DOS(E_F) in states/eV per atom: 1.471
Electronic total energy in eV per atom: -7.3984
Formation enthalpy at 0 K in eV/atom: 2.250
Relative energy among the computed polymorphs in eV/atom: 0.6289

=====

Record 6
DFT (PBE) results for crystalline ZnCr2Re at its relaxed geometry. Values from VASP.

```
&SYSTEM
  ibrav = 0, nat = 8, ntyp = 3
/
ATOMIC_SPECIES
Zn 65.41 Zn.upf
Cr 52.00 Cr.upf
Re 186.21 Re.upf
CELL_PARAMETERS angstrom
-3.407 3.407 2.592
3.407 -3.407 2.592
3.407 3.407 -2.592
ATOMIC_POSITIONS crystal
Zn 0.000 0.000 0.000
Zn 0.750 0.250 0.500
Cr 0.155 0.625 0.030
Cr 0.375 0.405 0.530
Cr 0.595 0.125 0.970
Cr 0.875 0.845 0.470
Re 0.250 0.750 0.500
Re 0.500 0.500 0.000
```

Calculated values
DOS(E_F) in states/eV per atom: 0.614
Electronic total energy in eV per atom: -7.4323
Formation enthalpy at 0 K in eV/atom: 0.810

=====

Record 7
DFT (PBE) results for crystalline ZnCr2Re at its relaxed geometry. Values from VASP.

```
&SYSTEM
  ibrav = 0, nat = 4, ntyp = 3
/
ATOMIC_SPECIES
Zn 65.41 Zn.upf
Cr 52.00 Cr.upf
Re 186.21 Re.upf
CELL_PARAMETERS angstrom
2.683 0.000 0.000
0.000 3.772 0.000
0.000 0.000 5.245
ATOMIC_POSITIONS crystal
Zn 0.000 0.000 0.000
Cr 0.500 0.500 0.262
Cr 0.500 0.500 0.738
Re 0.000 0.000 0.500
```

Calculated values
DOS(E_F) in states/eV per atom: 0.902
Electronic total energy in eV per atom: -7.9892
Formation enthalpy at 0 K in eV/atom: 0.253

=====

Record 8
DFT (PBE) results for crystalline ZnCr2Re at its relaxed geometry. Values from VASP.

```
&SYSTEM
  ibrav = 0, nat = 4, ntyp = 3
/
ATOMIC_SPECIES
Zn 65.41 Zn.upf
Cr 52.00 Cr.upf
Re 186.21 Re.upf
CELL_PARAMETERS angstrom
2.557 0.000 0.000
0.000 4.143 0.000
-1.021 0.000 4.941
ATOMIC_POSITIONS crystal
Zn 0.000 0.000 0.000
Cr 0.549 0.000 0.484
Cr 0.750 0.500 0.241
Re 0.306 0.500 0.734
```

Calculated values
DOS(E_F) in states/eV per atom: 0.951
Electronic total energy in eV per atom: -8.0573
Formation enthalpy at 0 K in eV/atom: 0.185